Entry 1:
This record from Alexandria describes an optimized crystal structure of PuGePbAu. The functional is GGA-PBE.

Values from the calculation:
As for the formation energy: -182 meV per atom. The calculation puts the volume at 23.649 Å³ per atom. The total magnetization comes out at 1.3961 μB/atom.

Structure (CIF):
```
data_PuGePbAu
_chemical_formula_sum 'Pu4 Ge4 Pb4 Au4'
_cell_length_a 7.233
_cell_length_b 7.233
_cell_length_c 7.233
_cell_angle_alpha 90.00
_cell_angle_beta 90.00
_cell_angle_gamma 90.00
_space_group_name_H-M_alt 'F -4 3 m'
_space_group_IT_number 216
_space_group_name_Hall 'F -4 2 3'
loop_
_atom_site_label
_atom_site_fract_x
_atom_site_fract_y
_atom_site_fract_z
Pu1 0.000 0.000 0.000
Ge1 0.250 0.250 0.750
Pb1 0.000 0.000 0.500
Au1 0.250 0.250 0.250
```

=====

Entry 2:
This record from Alexandria describes an optimized crystal structure of RbGePb2Au2. The functional is GGA-PBE.

Values from the calculation:
As for the formation energy: -94 meV per atom. The calculation puts the volume at 29.860 Å³ per atom. The total magnetization comes out at 0.0000 μB/atom.

Structure (CIF):
```
data_RbGePb2Au2
_chemical_formula_sum 'Rb2 Ge2 Pb4 Au4'
_cell_length_a 4.682
_cell_length_b 9.242
_cell_length_c 8.282
_cell_angle_alpha 90.00
_cell_angle_beta 90.00
_cell_angle_gamma 90.00
_space_group_name_H-M_alt 'P m c 21'
_space_group_IT_number 26
loop_
_space_group_symop_operation_xyz
'x,y,z'
'-x,-y,z+1/2'
'-x,y,z'
'x,-y,z+1/2'
loop_
_atom_site_label
_atom_site_fract_x
_atom_site_fract_y
_atom_site_fract_z
Rb1 0.000 0.071 0.000
Ge1 0.500 0.219 0.658
Pb1 0.000 0.361 0.325
Pb2 0.500 0.449 0.026
Au1 0.000 0.343 0.684
Au2 0.500 0.181 0.346
```

=====

Entry 3:
This record from Alexandria describes an optimized crystal structure of GeSbPb2Au. The functional is GGA-PBE.

Values from the calculation:
The calculation puts the volume at 32.892 Å³ per atom. The total magnetization comes out at 0.0000 μB/atom. Its energy relative to the elements, uncorrected is 0.621 eV per atom.

Structure (CIF):
```
data_GeSbPb2Au
_chemical_formula_sum 'Ge1 Sb1 Pb2 Au1'
_cell_length_a 5.665
_cell_length_b 5.665
_cell_length_c 5.124
_cell_angle_alpha 90.00
_cell_angle_beta 90.00
_cell_angle_gamma 90.00
_space_group_name_H-M_alt 'P 4/m m m'
_space_group_IT_number 123
_space_group_name_Hall '-P 4 2'
loop_
_atom_site_label
_atom_site_fract_x
_atom_site_fract_y
_atom_site_fract_z
Ge1 0.000 0.000 0.000
Sb1 0.000 0.000 0.500
Pb1 0.000 0.500 0.000
Au1 0.500 0.500 0.500
```